Below is Pr3SmAg4 after structural relaxation, with properties calculated at the GGA-PBE level.

abc: 3.761 3.761 15.103
angles: 90.00 90.00 90.00
Fractional coordinates of all 8 atoms:
Pr  0.500  0.500  0.248
Pr  0.500  0.500  0.500
Pr  0.500  0.500  0.752
Ag  0.000  0.000  0.882
Ag  0.000  0.000  0.118
Ag  0.000  0.000  0.374
Ag  0.000  0.000  0.626
Sm  0.500  0.500  0.000

Summary:
Uncorrected energy   -4.06 eV/atom
ΔE_f   -0.25 eV per atom
Symmetry   P4/mmm, No. 123